Density functional theory data (GGA+U) for crystalline Fe5O2F8 at its relaxed geometry.

Structure (CIF):
```
data_Fe5O2F8
_chemical_formula_sum 'Fe10 O4 F16'
_cell_length_a 7.997
_cell_length_b 4.799
_cell_length_c 10.082
_cell_angle_alpha 90.00
_cell_angle_beta 107.52
_cell_angle_gamma 90.00
_space_group_name_H-M_alt 'P 1 21 1'
_space_group_IT_number 4
loop_
_space_group_symop_operation_xyz
'x,y,z'
'-x,y+1/2,-z'
loop_
_atom_site_label
_atom_site_fract_x
_atom_site_fract_y
_atom_site_fract_z
Fe1 0.042 0.000 0.162
Fe2 0.156 0.439 0.448
Fe3 0.251 0.943 0.756
Fe4 0.338 0.477 0.040
Fe5 0.431 0.966 0.349
O1 0.184 0.670 0.862
O2 0.198 0.161 0.317
F1 0.029 0.171 0.728
F2 0.094 0.253 0.014
F3 0.110 0.771 0.571
F4 0.264 0.760 0.162
F5 0.321 0.248 0.642
F6 0.396 0.644 0.473
F7 0.404 0.157 0.926
F8 0.487 0.773 0.776
```

Summary:
**Theoretical density**: 4.17 g/cm3
**E_tot**: -5.73 eV/atom